[1]
Computed, not measured: crystalline Tl2CdF3 at its relaxed geometry at the GGA-PBE level of DFT.

E_tot   -41.35 eV/cell
V   246 Å³/cell
D(E_F)   3.31 states/eV per cell

a b c (Å): 6.6017 6.6017 7.2148
angles (deg): 105.78 105.78 55.22
Fractional coordinates of all 12 atoms:
1 Tl 0.1511 0.1615 0.0761
2 Tl 0.1615 0.1511 0.5761
3 Tl 0.8385 0.8489 0.4239
4 Tl 0.8489 0.8385 0.9239
5 Cd 0.4468 0.5532 0.2500
6 Cd 0.5532 0.4468 0.7500
7 F 0.1823 0.8177 0.7500
8 F 0.3512 0.3703 0.4292
9 F 0.3703 0.3512 0.9292
10 F 0.6297 0.6488 0.0708
11 F 0.6488 0.6297 0.5708
12 F 0.8177 0.1823 0.2500

[2]
Computed, not measured: crystalline CaNp2AlO8 at its relaxed geometry at the GGA-PBE level of DFT.

E_tot   -105.88 eV/cell
V   158 Å³/cell
D(E_F)   5.71 states/eV per cell

a b c (Å): 4.8048 4.8048 6.8485
angles (deg): 90.00 90.00 92.58
Fractional coordinates of all 12 atoms:
1 Ca 0.0000 0.0000 0.0000
2 Np 0.5000 0.5000 0.2594
3 Np 0.5000 0.5000 0.7406
4 Al 0.0000 0.0000 0.5000
5 O 0.1970 0.1970 0.2878
6 O 0.1970 0.1970 0.7122
7 O 0.2922 0.7078 0.5000
8 O 0.3224 0.6776 0.0000
9 O 0.6776 0.3224 0.0000
10 O 0.7078 0.2922 0.5000
11 O 0.8030 0.8030 0.2878
12 O 0.8030 0.8030 0.7122

[3]
Computed, not measured: crystalline ZrMnAl2 at its relaxed geometry at the GGA-PBE level of DFT.

V   63 Å³/cell
D(E_F)   2.82 states/eV per cell
Energy of formation from the pure elements   -73 meV/atom

a b c (Å): 4.4595 4.4595 4.4595
angles (deg): 60.00 60.00 60.00
Fractional coordinates of all 4 atoms:
1 Zr 0.0000 0.0000 0.0000
2 Mn 0.5000 0.5000 0.5000
3 Al 0.2500 0.2500 0.2500
4 Al 0.7500 0.7500 0.7500

[4]
Computed, not measured: crystalline TeRuW2 at its relaxed geometry at the GGA-PBE level of DFT.

E_tot   -35.87 eV/cell
V   68 Å³/cell
D(E_F)   2.81 states/eV per cell

a b c (Å): 9.1526 9.1526 9.1526
angles (deg): 18.65 18.65 18.65
Fractional coordinates of all 4 atoms:
1 Te 0.0000 0.0000 0.0000
2 Ru 0.5000 0.5000 0.5000
3 W 0.2452 0.2452 0.2452
4 W 0.7548 0.7548 0.7548

[5]
Computed, not measured: crystalline TlBRh3 at its relaxed geometry at the GGA-PBE level of DFT.

V   104 Å³/cell
D(E_F)   5.51 states/eV per cell
Energy of formation from the pure elements   312 meV/atom

a b c (Å): 2.8971 7.1814 7.1814
angles (deg): 44.31 90.00 90.00
Fractional coordinates of all 5 atoms:
1 Tl 0.0000 0.0000 0.0000
2 B 0.5000 0.6585 0.6585
3 Rh 0.0000 0.4256 0.9473
4 Rh 0.0000 0.9473 0.4256
5 Rh 0.5000 0.8236 0.8236

[6]
Computed, not measured: crystalline La2Cd3Sn2 at its relaxed geometry at the GGA-PBE level of DFT.

V   210 Å³/cell
D(E_F)   4.16 states/eV per cell
Energy of formation from the pure elements   -363 meV/atom

a b c (Å): 11.1385 11.1385 4.4348
angles (deg): 90.00 90.00 157.59
Fractional coordinates of all 7 atoms:
1 La 0.1618 0.8382 0.0000
2 La 0.8382 0.1618 0.0000
3 Cd 0.0000 0.0000 0.0000
4 Cd 0.4347 0.5653 0.5000
5 Cd 0.5653 0.4347 0.5000
6 Sn 0.2942 0.7058 0.5000
7 Sn 0.7058 0.2942 0.5000